# 1
This record from Alexandria describes a geometry-optimized Y2CoAs structure. The functional is PBEsol.

Computed properties:
Formation energy from the elements (eV per formula unit): -2.46
Calculated density (Mg/m³): 6.37

Cell: 3.561 4.123 11.065 Å, 90.00 90.00 90.00°
Space group Imm2 (No. 44)
Symmetry-distinct sites (fractional):
Y (0.000, 0.000, 0.000) (multiplicity 2)
Y (0.000, 0.500, 0.232) (multiplicity 2)
Co (0.000, 0.000, 0.463) (multiplicity 2)
As (0.000, 0.500, 0.814) (multiplicity 2)

# 2
This record from Alexandria describes a geometry-optimized YCoAs2 structure. The functional is PBEsol.

Computed properties:
Formation energy from the elements (eV per formula unit): -1.01
Calculated density (Mg/m³): 6.58

Cell: 3.043 3.043 8.115 Å, 90.00 90.00 90.00°
Space group P4mm (No. 99)
Symmetry-distinct sites (fractional):
Y (0.000, 0.000, 0.000) (multiplicity 1)
Co (0.500, 0.500, 0.748) (multiplicity 1)
As (0.000, 0.000, 0.614) (multiplicity 1)
As (0.500, 0.500, 0.253) (multiplicity 1)

# 3
This record from Alexandria describes a geometry-optimized ZnCoAs structure. The functional is PBEsol.

Computed properties:
Formation energy from the elements (eV per formula unit): -0.04
Calculated density (Mg/m³): 7.85

Cell: 2.9019 2.9019 5.7811 Å, 90.00 90.00 120.00°
Space group P3m1 (No. 156)
Symmetry-distinct sites (fractional):
Zn (0.0000, 0.0000, 0.0000) (multiplicity 1)
Co (0.6667, 0.3333, 0.3189) (multiplicity 1)
As (0.3333, 0.6667, 0.5906) (multiplicity 1)

# 4
This record from Alexandria describes a geometry-optimized ZnCo3As structure. The functional is PBEsol.

Computed properties:
Formation energy from the elements (eV per formula unit): 3.47
Calculated density (Mg/m³): 6.98

Cell: 4.225 4.225 4.225 Å, 90.00 90.00 90.00°
Space group Pm-3m (No. 221)
Symmetry-distinct sites (fractional):
Zn (0.000, 0.000, 0.000) (multiplicity 1)
Co (0.000, 0.500, 0.500) (multiplicity 3)
As (0.500, 0.500, 0.500) (multiplicity 1)

# 5
This record from Alexandria describes a geometry-optimized Zn2Co2As structure. The functional is PBEsol.

Computed properties:
Formation energy from the elements (eV per formula unit): 1.10
Calculated density (Mg/m³): 8.17

Cell: 3.225 3.225 12.642 Å, 90.00 90.00 90.00°
Space group I4/mmm (No. 139)
Symmetry-distinct sites (fractional):
Zn (0.000, 0.500, 0.250) (multiplicity 4)
Co (0.000, 0.000, 0.094) (multiplicity 4)
As (0.000, 0.000, 0.500) (multiplicity 2)

# 6
This record from Alexandria describes a geometry-optimized ZnCo2As structure. The functional is PBEsol.

Computed properties:
Formation energy from the elements (eV per formula unit): 1.07
Calculated density (Mg/m³): 8.18

Cell: 6.360 6.360 5.184 Å, 90.00 90.00 90.00°
Space group I-42d (No. 122)
Symmetry-distinct sites (fractional):
Zn (0.000, 0.000, 0.000) (multiplicity 4)
Co (0.218, 0.750, 0.625) (multiplicity 8)
As (0.000, 0.000, 0.500) (multiplicity 4)

# 7
This record from Alexandria describes a geometry-optimized ZrCoAs2 structure. The functional is PBEsol.

Computed properties:
Formation energy from the elements (eV per formula unit): -1.71
Calculated density (Mg/m³): 8.04

Cell: 4.342 4.342 3.286 Å, 90.00 90.00 90.00°
Space group P4/mmm (No. 123)
Symmetry-distinct sites (fractional):
Zr (0.000, 0.000, 0.000) (multiplicity 1)
Co (0.500, 0.500, 0.000) (multiplicity 1)
As (0.000, 0.500, 0.500) (multiplicity 2)

# 8
This record from Alexandria describes a geometry-optimized ZrCoAs2 structure. The functional is PBEsol.

Computed properties:
Formation energy from the elements (eV per formula unit): -1.83
Calculated density (Mg/m³): 7.71

Cell: 3.457 3.457 5.407 Å, 90.00 90.00 90.00°
Space group P4mm (No. 99)
Symmetry-distinct sites (fractional):
Zr (0.000, 0.000, 0.000) (multiplicity 1)
Co (0.500, 0.500, 0.645) (multiplicity 1)
As (0.000, 0.000, 0.515) (multiplicity 1)
As (0.500, 0.500, 0.187) (multiplicity 1)

# 9
This record from Alexandria describes a geometry-optimized ZrCoAs2 structure. The functional is PBEsol.

Computed properties:
Formation energy from the elements (eV per formula unit): -1.87
Calculated density (Mg/m³): 7.53

Cell: 9.498 3.308 4.441 Å, 90.00 108.59 90.00°
Space group Cm (No. 8)
Symmetry-distinct sites (fractional):
Zr (0.000, 0.000, 0.000) (multiplicity 2)
Co (0.200, 0.000, 0.659) (multiplicity 2)
As (0.009, 0.500, 0.500) (multiplicity 2)
As (0.238, 0.500, 0.087) (multiplicity 2)

# 10
This record from Alexandria describes a geometry-optimized ZrCo3As structure. The functional is PBEsol.

Computed properties:
Formation energy from the elements (eV per formula unit): 1.31
Calculated density (Mg/m³): 7.55

Cell: 4.226 4.226 4.226 Å, 90.00 90.00 90.00°
Space group Pm-3m (No. 221)
Symmetry-distinct sites (fractional):
Zr (0.000, 0.000, 0.000) (multiplicity 1)
Co (0.000, 0.500, 0.500) (multiplicity 3)
As (0.500, 0.500, 0.500) (multiplicity 1)

# 11
This record from Alexandria describes a geometry-optimized CrAs structure. The functional is PBEsol.

Computed properties:
Formation energy from the elements (eV per formula unit): -0.34
Calculated density (Mg/m³): 7.03

Cell: 5.586 3.472 6.187 Å, 90.00 90.00 90.00°
Space group Pnma (No. 62)
Symmetry-distinct sites (fractional):
Cr (0.003, 0.250, 0.213) (multiplicity 4)
As (0.211, 0.250, 0.578) (multiplicity 4)

# 12
This record from Alexandria describes a geometry-optimized CrAs4 structure. The functional is PBEsol.

Computed properties:
Formation energy from the elements (eV per formula unit): 1.39
Calculated density (Mg/m³): 6.11

Cell: 5.761 5.761 5.761 Å, 90.00 90.00 90.00°
Space group Im-3m (No. 229)
Symmetry-distinct sites (fractional):
Cr (0.000, 0.000, 0.000) (multiplicity 2)
As (0.250, 0.250, 0.250) (multiplicity 8)

# 13
This record from Alexandria describes a geometry-optimized CrAs structure. The functional is PBEsol.

Computed properties:
Formation energy from the elements (eV per formula unit): -0.30
Calculated density (Mg/m³): 6.88

Cell: 3.5795 3.5795 5.5183 Å, 90.00 90.00 120.00°
Space group P6_3/mmc (No. 194)
Symmetry-distinct sites (fractional):
Cr (0.0000, 0.0000, 0.0000) (multiplicity 2)
As (0.3333, 0.6667, 0.2500) (multiplicity 2)

# 14
This record from Alexandria describes a geometry-optimized CrAs structure. The functional is PBEsol.

Computed properties:
Formation energy from the elements (eV per formula unit): -0.24
Calculated density (Mg/m³): 7.71

Cell: 3.1726 3.1726 3.1375 Å, 90.00 90.00 120.00°
Space group P-6m2 (No. 187)
Symmetry-distinct sites (fractional):
Cr (0.0000, 0.0000, 0.0000) (multiplicity 1)
As (0.6667, 0.3333, 0.5000) (multiplicity 1)

# 15
This record from Alexandria describes a geometry-optimized Cr2As structure. The functional is PBEsol.

Computed properties:
Formation energy from the elements (eV per formula unit): 1.13
Calculated density (Mg/m³): 7.65

Cell: 3.9714 3.9714 5.6843 Å, 90.00 90.00 120.00°
Space group P6_3/mmc (No. 194)
Symmetry-distinct sites (fractional):
Cr (0.3333, 0.6667, 0.0524) (multiplicity 4)
As (0.0000, 0.0000, 0.2500) (multiplicity 2)

# 16
This record from Alexandria describes a geometry-optimized CrAs3 structure. The functional is PBEsol.

Computed properties:
Formation energy from the elements (eV per formula unit): 0.40
Calculated density (Mg/m³): 5.74

Cell: 7.212 12.398 3.583 Å, 90.00 90.00 90.00°
Space group Cmcm (No. 63)
Symmetry-distinct sites (fractional):
Cr (0.000, 0.058, 0.250) (multiplicity 4)
As (0.000, 0.234, 0.750) (multiplicity 4)
As (0.240, 0.097, 0.750) (multiplicity 8)

# 17
This record from Alexandria describes a geometry-optimized CrAs5 structure. The functional is PBEsol.

Computed properties:
Formation energy from the elements (eV per formula unit): 1.79
Calculated density (Mg/m³): 6.63

Cell: 3.278 14.425 4.518 Å, 90.00 90.00 90.00°
Space group Cmmm (No. 65)
Symmetry-distinct sites (fractional):
Cr (0.000, 0.000, 0.000) (multiplicity 2)
As (0.000, 0.151, 0.500) (multiplicity 4)
As (0.000, 0.358, 0.000) (multiplicity 4)
As (0.000, 0.500, 0.500) (multiplicity 2)

# 18
This record from Alexandria describes a geometry-optimized CsCrAs3 structure. The functional is PBEsol.

Computed properties:
Formation energy from the elements (eV per formula unit): 10.52
Calculated density (Mg/m³): 4.02

Cell: 5.532 5.532 5.532 Å, 90.00 90.00 90.00°
Space group Pm-3m (No. 221)
Symmetry-distinct sites (fractional):
Cs (0.000, 0.000, 0.000) (multiplicity 1)
Cr (0.500, 0.500, 0.500) (multiplicity 1)
As (0.000, 0.000, 0.500) (multiplicity 3)

# 19
This record from Alexandria describes a geometry-optimized Cs2CrAs2 structure. The functional is PBEsol.

Computed properties:
Formation energy from the elements (eV per formula unit): 2.59
Calculated density (Mg/m³): 4.59

Cell: 3.784 3.784 23.606 Å, 90.00 90.00 90.00°
Space group I4/mmm (No. 139)
Symmetry-distinct sites (fractional):
Cs (0.000, 0.000, 0.119) (multiplicity 4)
Cr (0.000, 0.000, 0.500) (multiplicity 2)
As (0.000, 0.500, 0.250) (multiplicity 4)

# 20
This record from Alexandria describes a geometry-optimized CrCu2AsO structure. The functional is PBEsol.

Computed properties:
Calculated density (Mg/m³): 5.03
Formation energy from raw total energies (eV/atom): 0.890

Cell: 4.318 4.318 4.781 Å, 90.00 90.00 90.00°
Space group P4/mmm (No. 123)
Symmetry-distinct sites (fractional):
Cr (0.000, 0.000, 0.000) (multiplicity 1)
Cu (0.000, 0.500, 0.500) (multiplicity 2)
As (0.000, 0.000, 0.500) (multiplicity 1)
O (0.500, 0.500, 0.000) (multiplicity 1)

# 21
This record from Alexandria describes a geometry-optimized CrCuAsO2 structure. The functional is PBEsol.

Computed properties:
Calculated density (Mg/m³): 5.66
Formation energy from raw total energies (eV/atom): 0.318

Cell: 3.616 3.616 4.992 Å, 90.00 90.00 90.00°
Space group P4/mmm (No. 123)
Symmetry-distinct sites (fractional):
Cr (0.000, 0.000, 0.000) (multiplicity 1)
Cu (0.000, 0.000, 0.500) (multiplicity 1)
As (0.500, 0.500, 0.000) (multiplicity 1)
O (0.000, 0.500, 0.500) (multiplicity 2)

# 22
This record from Alexandria describes a geometry-optimized EuCr2As2 structure. The functional is PBEsol.

Computed properties:
Formation energy from the elements (eV per formula unit): -2.43
Calculated density (Mg/m³): 7.75

Cell: 3.674 3.674 12.883 Å, 90.00 90.00 90.00°
Space group I4/mmm (No. 139)
Symmetry-distinct sites (fractional):
Eu (0.000, 0.000, 0.000) (multiplicity 2)
Cr (0.000, 0.500, 0.250) (multiplicity 4)
As (0.000, 0.000, 0.371) (multiplicity 4)

# 23
This record from Alexandria describes a geometry-optimized Cr2AsF structure. The functional is PBEsol.

Computed properties:
Calculated density (Mg/m³): 5.39
Formation energy from raw total energies (eV/atom): -0.323

Cell: 6.197 6.197 6.346 Å, 90.00 90.00 90.00°
Space group I-42d (No. 122)
Symmetry-distinct sites (fractional):
Cr (0.213, 0.750, 0.125) (multiplicity 8)
As (0.000, 0.000, 0.500) (multiplicity 4)
F (0.000, 0.000, 0.000) (multiplicity 4)

# 24
This record from Alexandria describes a geometry-optimized CrMo2AsF structure. The functional is PBEsol.

Computed properties:
Calculated density (Mg/m³): 5.62
Formation energy from raw total energies (eV/atom): 1.347

Cell: 4.633 4.633 4.649 Å, 90.00 90.00 90.00°
Space group P4/mmm (No. 123)
Symmetry-distinct sites (fractional):
Cr (0.000, 0.000, 0.000) (multiplicity 1)
Mo (0.000, 0.500, 0.500) (multiplicity 2)
As (0.000, 0.000, 0.500) (multiplicity 1)
F (0.500, 0.500, 0.000) (multiplicity 1)

# 25
This record from Alexandria describes a geometry-optimized CrAsN2F structure. The functional is PBEsol.

Computed properties:
Calculated density (Mg/m³): 5.36
Formation energy from raw total energies (eV/atom): 0.050

Cell: 3.812 3.812 3.711 Å, 90.00 90.00 90.00°
Space group P4/mmm (No. 123)
Symmetry-distinct sites (fractional):
Cr (0.000, 0.000, 0.000) (multiplicity 1)
As (0.500, 0.500, 0.500) (multiplicity 1)
N (0.000, 0.500, 0.000) (multiplicity 2)
F (0.000, 0.000, 0.500) (multiplicity 1)

# 26
This record from Alexandria describes a geometry-optimized CrAsO2F structure. The functional is PBEsol.

Computed properties:
Calculated density (Mg/m³): 5.33
Formation energy from raw total energies (eV/atom): -1.037

Cell: 3.827 3.827 3.785 Å, 90.00 90.00 90.00°
Space group P4/mmm (No. 123)
Symmetry-distinct sites (fractional):
Cr (0.000, 0.000, 0.000) (multiplicity 1)
As (0.500, 0.500, 0.500) (multiplicity 1)
O (0.000, 0.500, 0.000) (multiplicity 2)
F (0.000, 0.000, 0.500) (multiplicity 1)

# 27
This record from Alexandria describes a geometry-optimized Cr2AsOsF structure. The functional is PBEsol.

Computed properties:
Calculated density (Mg/m³): 9.73
Formation energy from raw total energies (eV/atom): 0.478

Cell: 3.786 3.786 4.622 Å, 90.00 90.00 90.00°
Space group P4/mmm (No. 123)
Symmetry-distinct sites (fractional):
Cr (0.000, 0.500, 0.000) (multiplicity 2)
As (0.000, 0.000, 0.500) (multiplicity 1)
Os (0.500, 0.500, 0.500) (multiplicity 1)
F (0.000, 0.000, 0.000) (multiplicity 1)

# 28
This record from Alexandria describes a geometry-optimized Cr2FeAs structure. The functional is PBEsol.

Computed properties:
Formation energy from the elements (eV per formula unit): 0.40
Calculated density (Mg/m³): 8.40

Cell: 2.632 3.865 4.635 Å, 90.00 100.30 90.00°
Space group Pm (No. 6)
Symmetry-distinct sites (fractional):
Cr (0.000, 0.000, 0.000) (multiplicity 1)
Cr (0.241, 0.500, 0.726) (multiplicity 1)
Fe (0.634, 0.500, 0.214) (multiplicity 1)
As (0.659, 0.000, 0.486) (multiplicity 1)